Entry 1:
PmMg5Ge2: relaxed, PBE.

The calculation puts the formation energy at -2.288 eV per formula unit. As for the total energy: -3.031 eV/atom.

a b c (Å): 4.240 6.894 6.894
angles (deg): 74.98 72.09 72.09
Fractional positions:
Pm (0.000, 0.000, 0.000)
Mg (0.000, 0.500, 0.500)
Mg (0.653, 0.530, 0.163)
Mg (0.347, 0.470, 0.837)
Mg (0.347, 0.837, 0.470)
Mg (0.653, 0.163, 0.530)
Ge (0.726, 0.774, 0.774)
Ge (0.274, 0.226, 0.226)

***

Entry 2:
BaMnSe2: relaxed, PBE.

As for the total energy: -5.534 eV/atom. The value obtained for the formation energy without anion corrections is -1018 meV/atom.

a b c (Å): 3.806 4.292 7.262
angles (deg): 89.99 90.00 90.00
Fractional positions:
Ba (0.500, 0.250, 0.250)
Mn (0.500, 0.750, 0.750)
Se (0.000, 0.751, 0.993)
Se (0.000, 0.749, 0.507)

***

Entry 3:
PmNi2Pt: relaxed, PBE.

The calculation puts the formation energy at -2.078 eV per formula unit. As for the total energy: -6.108 eV/atom. As for the energy above the most stable polymorph in this dataset: 0 meV per atom.

a b c (Å): 4.269 4.269 9.075
angles (deg): 90.00 90.00 120.00
Fractional positions:
Pm (0.333, 0.667, 0.250)
Pm (0.667, 0.333, 0.750)
Ni (0.667, 0.333, 0.049)
Ni (0.333, 0.667, 0.549)
Ni (0.667, 0.333, 0.451)
Ni (0.333, 0.667, 0.951)
Pt (0.000, 0.000, 0.000)
Pt (0.000, 0.000, 0.500)